{
  "formula": "LiCo2Se2",
  "functional": "PBE",
  "state": "optimized geometry",
  "cell": [[4.5035, 0.0000, 0.0000], [0.0000, 4.5035, 0.0000], [2.2517, 2.2517, 3.9515]],
  "species": ["Co", "Co", "Se", "Se", "Li"],
  "fractional_positions": [[0.6472, 0.6472, 0.7056], [0.3528, 0.3528, 0.2944], [0.2500, 0.7500, 0.5000], [0.7500, 0.2500, 0.5000], [0.0000, 0.0000, 0.0000]],
  "magnetic_moment_mub_per_fu": 0.749,
  "de_polymorph_mev_per_atom": 224,
  "raw_formation_energy_ev_per_atom": -0.1328,
  "spacegroup": "I4/mmm (139)"
}



{
  "formula": "LiCo2Se",
  "functional": "PBE",
  "state": "optimized geometry",
  "cell": [[3.8303, 0.0000, 0.0000], [0.0000, 2.8922, 0.0173], [0.0000, 1.4344, 4.7546]],
  "species": ["Co", "Co", "Se", "Li"],
  "fractional_positions": [[0.5000, 0.2109, 0.2032], [0.0000, 0.7983, 0.0279], [0.5000, 0.9451, 0.7332], [0.0000, 0.5457, 0.5356]],
  "magnetic_moment_mub_per_fu": 3.015,
  "raw_formation_energy_ev_per_atom": 0.0183,
  "spacegroup": "Pm (6)"
}



{
  "formula": "LiCoSe2",
  "functional": "PBE",
  "state": "optimized geometry",
  "cell": [[5.8979, 0.0000, 0.0000], [0.0000, 5.8979, 0.0000], [2.9490, 2.9490, 4.8904]],
  "species": ["Co", "Co", "Se", "Se", "Se", "Se", "Li", "Li"],
  "fractional_positions": [[0.7500, 0.2500, 0.5000], [0.0000, 0.0000, 0.0000], [0.0764, 0.6250, 0.2500], [0.8750, 0.9236, 0.7500], [0.3750, 0.3264, 0.7500], [0.6736, 0.1250, 0.2500], [0.5000, 0.5000, 0.0000], [0.2500, 0.7500, 0.5000]],
  "magnetic_moment_mub_per_fu": 0.000,
  "raw_formation_energy_ev_per_atom": -0.4501,
  "spacegroup": "I-42d (122)"
}



{
  "formula": "LiCo2Se",
  "functional": "PBE",
  "state": "optimized geometry",
  "cell": [[-0.2995, -3.8555, 2.6546], [3.2011, -3.3003, -0.9288], [0.1091, 4.6167, 0.8218]],
  "species": ["Se", "Co", "Co", "Li"],
  "fractional_positions": [[0.7500, 0.2500, 0.5000], [0.0000, 0.0000, 0.0000], [0.5000, 0.5000, 0.0000], [0.2500, 0.7500, 0.5000]],
  "magnetic_moment_mub_per_fu": 3.192,
  "raw_formation_energy_ev_per_atom": 0.0208,
  "spacegroup": "I4/mmm (139)"
}



{
  "formula": "LiCo2Se",
  "functional": "PBE",
  "state": "optimized geometry",
  "cell": [[-1.2287, -6.9354, 1.2364], [3.7864, 0.4082, 6.0527], [-0.6894, -2.7021, 4.8379]],
  "species": ["Co", "Co", "Co", "Co", "Li", "Li", "Se", "Se"],
  "fractional_positions": [[0.0631, 0.6250, 0.2500], [0.3750, 0.3131, 0.7500], [0.8750, 0.9369, 0.7500], [0.6869, 0.1250, 0.2500], [0.2500, 0.7500, 0.5000], [0.5000, 0.5000, 0.0000], [0.0000, 0.0000, 0.0000], [0.7500, 0.2500, 0.5000]],
  "magnetic_moment_mub_per_fu": 2.917,
  "raw_formation_energy_ev_per_atom": 0.2437,
  "spacegroup": "I-42d (122)"
}



{
  "formula": "LiCoSe2",
  "functional": "PBE",
  "state": "optimized geometry",
  "cell": [[3.6032, 0.0011, 0.0143], [1.8003, 3.1212, 0.0143], [1.7791, 1.0281, 6.0951]],
  "species": ["Co", "Se", "Se", "Li"],
  "fractional_positions": [[0.7500, 0.7500, 0.7500], [0.4841, 0.4841, 0.5481], [0.0159, 0.0159, 0.9519], [0.2500, 0.2500, 0.2500]],
  "magnetic_moment_mub_per_fu": 0.000,
  "raw_formation_energy_ev_per_atom": -0.5727,
  "spacegroup": "R-3m (166)"
}



{
  "formula": "LiCo2Se2",
  "functional": "PBE",
  "state": "optimized geometry",
  "cell": [[-2.9612, -1.7519, -1.5920], [2.3664, -2.1238, -2.0645], [-0.2000, -6.0206, 2.4835]],
  "species": ["Li", "Se", "Se", "Co", "Co"],
  "fractional_positions": [[0.0000, 0.0000, 0.0000], [0.6349, 0.6349, 0.7302], [0.3651, 0.3651, 0.2698], [0.7500, 0.2500, 0.5000], [0.2500, 0.7500, 0.5000]],
  "magnetic_moment_mub_per_fu": 1.991,
  "de_polymorph_mev_per_atom": 0,
  "raw_formation_energy_ev_per_atom": -0.3565,
  "spacegroup": "I4/mmm (139)"
}



{
  "formula": "LiCoSe2",
  "functional": "PBE",
  "state": "optimized geometry",
  "cell": [[-0.5363, 4.9823, 0.5238], [-0.3812, -0.3771, 5.0098], [3.3921, -0.6308, -3.6718]],
  "species": ["Se", "Se", "Co", "Li"],
  "fractional_positions": [[0.4608, 0.4608, 0.0000], [0.0392, 0.0392, 0.0000], [0.2500, 0.7500, 0.5000], [0.7500, 0.2500, 0.5000]],
  "magnetic_moment_mub_per_fu": 0.001,
  "raw_formation_energy_ev_per_atom": -0.2984,
  "spacegroup": "Immm (71)"
}